Below is CeTmPb6 after structural relaxation, with properties calculated at the PBE level.

a = 4.9013 Å, b = 4.9013 Å, c = 9.7405 Å
α = 90.00°, β = 90.00°, γ = 90.00°
Closest atoms and distances in Å follow each position.
Atoms (fractional coordinates):
Ce (0.0000, 0.0000, 0.0000)  12 Pb 3.47-3.49
Tm (0.0000, 0.0000, 0.5000)  12 Pb 3.42-3.47
Pb (0.0000, 0.5000, 0.2546)  8 Pb 3.42-3.49, 2 Tm 3.42, 2 Ce 3.49
Pb (0.0000, 0.5000, 0.7454)  8 Pb 3.42-3.49, 2 Tm 3.42, 2 Ce 3.49
Pb (0.5000, 0.0000, 0.2546)  8 Pb 3.42-3.49, 2 Tm 3.42, 2 Ce 3.49
Pb (0.5000, 0.0000, 0.7454)  8 Pb 3.42-3.49, 2 Tm 3.42, 2 Ce 3.49
Pb (0.5000, 0.5000, 0.0000)  4 Ce 3.47, 8 Pb 3.49
Pb (0.5000, 0.5000, 0.5000)  8 Pb 3.42, 4 Tm 3.47

Output
The density is 11.02 g cm⁻³. Its symmetry is P4/mmm, No. 123.

Below is Ce2Tm2Pb7 after structural relaxation, with properties calculated at the PBE level.

a = 7.1978 Å, b = 7.1978 Å, c = 7.1458 Å
α = 90.00°, β = 90.00°, γ = 99.74°
Closest atoms and distances in Å follow each position.
Atoms (fractional coordinates):
Ce (0.1542, 0.1542, 0.0000)  1 Ce 2.86
Ce (0.8458, 0.8458, 0.0000)  1 Ce 2.86
Tm (0.2774, 0.7226, 0.5000)  7 Pb 3.05-3.21
Tm (0.7226, 0.2774, 0.5000)  7 Pb 3.05-3.21
Pb (0.0000, 0.0000, 0.5000)  2 Tm 3.05
Pb (0.0000, 0.5000, 0.2204)  2 Tm 3.08, 1 Pb 3.15, 2 Ce 3.29
Pb (0.0000, 0.5000, 0.7796)  2 Tm 3.08, 1 Pb 3.15, 2 Ce 3.29
Pb (0.5000, 0.0000, 0.2204)  2 Tm 3.08, 1 Pb 3.15, 2 Ce 3.29
Pb (0.5000, 0.0000, 0.7796)  2 Tm 3.08, 1 Pb 3.15, 2 Ce 3.29
Pb (0.5000, 0.5000, 0.2103)  1 Pb 3.01, 2 Tm 3.21
Pb (0.5000, 0.5000, 0.7897)  1 Pb 3.01, 2 Tm 3.21

Output
The density is 9.41 g cm⁻³. Its symmetry is Cmmm, No. 65.

Below is Ce2TmPb3 after structural relaxation, with properties calculated at the PBE level.

a = 7.6452 Å, b = 7.6452 Å, c = 9.2578 Å
α = 107.62°, β = 107.62°, γ = 49.27°
Closest atoms and distances in Å follow each position.
Atoms (fractional coordinates):
Ce (0.1678, 0.1679, 0.0839)  6 Pb 3.19
Ce (0.1679, 0.1678, 0.5839)  6 Pb 3.19
Ce (0.8321, 0.8322, 0.4161)  6 Pb 3.19
Ce (0.8322, 0.8321, 0.9161)  6 Pb 3.19
Tm (0.4996, 0.5004, 0.2500)  6 Pb 3.17-3.19
Tm (0.5004, 0.4996, 0.7500)  6 Pb 3.17-3.19
Pb (0.9996, 0.0004, 0.2500)  2 Tm 3.19, 4 Ce 3.19
Pb (0.0004, 0.9996, 0.7500)  2 Tm 3.19, 4 Ce 3.19
Pb (0.3349, 0.3350, 0.4174)  2 Tm 3.17, 4 Ce 3.19
Pb (0.3350, 0.3349, 0.9174)  2 Tm 3.17, 4 Ce 3.19
Pb (0.6650, 0.6651, 0.0826)  2 Tm 3.17, 4 Ce 3.19
Pb (0.6651, 0.6650, 0.5826)  2 Tm 3.17, 4 Ce 3.19

Output
The density is 9.20 g cm⁻³. The calculation puts the distance to the lowest polymorph of the same formula at 0.105 eV per atom. Its symmetry is C2/c, No. 15.

Below is Ce2TmPb after structural relaxation, with properties calculated at the PBE level.

a = 4.6027 Å, b = 4.6027 Å, c = 5.2222 Å
α = 90.00°, β = 90.00°, γ = 90.00°
Closest atoms and distances in Å follow each position.
Atoms (fractional coordinates):
Ce (0.0000, 0.5000, 0.0000)  4 Ce 3.25, 4 Pb 3.48, 4 Tm 3.48
Ce (0.5000, 0.0000, 0.0000)  4 Ce 3.25, 4 Pb 3.48, 4 Tm 3.48
Tm (0.0000, 0.0000, 0.5000)  4 Pb 3.25, 8 Ce 3.48
Pb (0.5000, 0.5000, 0.5000)  4 Tm 3.25, 8 Ce 3.48

Output
The density is 9.85 g cm⁻³. The calculation puts the distance to the lowest polymorph of the same formula at 0.003 eV per atom. Its symmetry is P4/mmm, No. 123.

Below is Ce3Tm4Pb4 after structural relaxation, with properties calculated at the PBE level.

a = 9.8019 Å, b = 9.8019 Å, c = 9.8019 Å
α = 154.47°, β = 122.30°, γ = 64.10°
Closest atoms and distances in Å follow each position.
Atoms (fractional coordinates):
Ce (0.0000, 0.0000, 0.0000)  4 Pb 3.40
Ce (0.4101, 0.9101, 0.5000)  1 Ce 2.99
Ce (0.5899, 0.0899, 0.5000)  1 Ce 2.99
Tm (0.0158, 0.3259, 0.6900)  4 Pb 3.01-3.16
Tm (0.3641, 0.6741, 0.6900)  4 Pb 3.01-3.16
Tm (0.6359, 0.3259, 0.3100)  4 Pb 3.01-3.16
Tm (0.9842, 0.6741, 0.3100)  4 Pb 3.01-3.16
Pb (0.2545, 0.2545, 0.0000)  6 Tm 3.11-3.16, 2 Ce 3.37
Pb (0.2771, 0.5000, 0.7771)  2 Tm 3.01
Pb (0.7229, 0.5000, 0.2229)  2 Tm 3.01
Pb (0.7455, 0.7455, 0.0000)  6 Tm 3.11-3.16, 2 Ce 3.37

Output
The density is 9.39 g cm⁻³. Its symmetry is Immm, No. 71.

Below is Ce3Tm2Pb3 after structural relaxation, with properties calculated at the PBE level.

a = 9.2124 Å, b = 9.2124 Å, c = 6.6380 Å
α = 90.00°, β = 90.00°, γ = 120.00°
Closest atoms and distances in Å follow each position.
Atoms (fractional coordinates):
Ce (0.0000, 0.2363, 0.2500)  3 Pb 3.21-3.35
Ce (0.0000, 0.7637, 0.7500)  3 Pb 3.21-3.35
Ce (0.2363, 0.0000, 0.2500)  3 Pb 3.21-3.35
Ce (0.2363, 0.2363, 0.7500)  3 Pb 3.21-3.35
Ce (0.7637, 0.0000, 0.7500)  3 Pb 3.21-3.35
Ce (0.7637, 0.7637, 0.2500)  3 Pb 3.21-3.35
Tm (0.3333, 0.6667, 0.0000)  6 Pb 3.27, 2 Tm 3.32
Tm (0.3333, 0.6667, 0.5000)  6 Pb 3.27, 2 Tm 3.32
Tm (0.6667, 0.3333, 0.0000)  6 Pb 3.27, 2 Tm 3.32
Tm (0.6667, 0.3333, 0.5000)  6 Pb 3.27, 2 Tm 3.32
Pb (0.0000, 0.4005, 0.7500)  3 Ce 3.21-3.35, 4 Tm 3.27
Pb (0.0000, 0.5995, 0.2500)  3 Ce 3.21-3.35, 4 Tm 3.27
Pb (0.4005, 0.0000, 0.7500)  3 Ce 3.21-3.35, 4 Tm 3.27
Pb (0.4005, 0.4005, 0.2500)  3 Ce 3.21-3.35, 4 Tm 3.27
Pb (0.5995, 0.0000, 0.2500)  3 Ce 3.21-3.35, 4 Tm 3.27
Pb (0.5995, 0.5995, 0.7500)  3 Ce 3.21-3.35, 4 Tm 3.27

Output
The density is 9.39 g cm⁻³. The calculation puts the distance to the lowest polymorph of the same formula at 0.000 eV per atom. Its symmetry is P6_3/mcm, No. 193.

Below is Ce5TmPb6 after structural relaxation, with properties calculated at the PBE level.

a = 9.9408 Å, b = 9.9408 Å, c = 9.9408 Å
α = 145.38°, β = 140.53°, γ = 53.49°
Closest atoms and distances in Å follow each position.
Atoms (fractional coordinates):
Ce (0.0000, 0.0000, 0.0000)  2 Tm 3.36, 8 Pb 3.38-3.41
Ce (0.1677, 0.6677, 0.5000)  2 Ce 3.36, 8 Pb 3.40-3.43
Ce (0.3347, 0.3347, 0.0000)  2 Ce 3.36, 8 Pb 3.37-3.45
Ce (0.6653, 0.6653, 0.0000)  2 Ce 3.36, 8 Pb 3.37-3.45
Ce (0.8323, 0.3323, 0.5000)  2 Ce 3.36, 8 Pb 3.40-3.43
Tm (0.5000, 0.0000, 0.5000)  2 Ce 3.36, 8 Pb 3.37-3.39
Pb (0.0872, 0.8349, 0.2523)  2 Pb 3.33-3.39, 1 Tm 3.37, 7 Ce 3.38-3.45
Pb (0.2537, 0.5000, 0.7537)  2 Pb 3.31-3.41, 6 Ce 3.37-3.43, 2 Tm 3.39
Pb (0.4173, 0.1651, 0.2523)  2 Pb 3.33-3.39, 1 Tm 3.37, 7 Ce 3.38-3.45
Pb (0.5827, 0.8349, 0.7477)  2 Pb 3.33-3.39, 1 Tm 3.37, 7 Ce 3.38-3.45
Pb (0.7463, 0.5000, 0.2463)  2 Pb 3.31-3.41, 6 Ce 3.37-3.43, 2 Tm 3.39
Pb (0.9128, 0.1651, 0.7477)  2 Pb 3.33-3.39, 1 Tm 3.37, 7 Ce 3.38-3.45

Output
The density is 9.95 g cm⁻³. The calculation puts the distance to the lowest polymorph of the same formula at 0.000 eV per atom. Its symmetry is Immm, No. 71.

Below is CeTm8Pb6 after structural relaxation, with properties calculated at the PBE level.

a = 8.3758 Å, b = 8.3758 Å, c = 8.3758 Å
α = 65.67°, β = 65.67°, γ = 65.67°
Closest atoms and distances in Å follow each position.
Atoms (fractional coordinates):
Ce (0.0000, 0.0000, 0.0000)  6 Pb 3.40, 6 Tm 3.60
Tm (0.1065, 0.7792, 0.4290)  5 Pb 3.09-3.42
Tm (0.2208, 0.5710, 0.8935)  5 Pb 3.09-3.42
Tm (0.3329, 0.3329, 0.3329)  6 Pb 3.27-3.29
Tm (0.4290, 0.1065, 0.7792)  5 Pb 3.09-3.42
Tm (0.5710, 0.8935, 0.2208)  5 Pb 3.09-3.42
Tm (0.6671, 0.6671, 0.6671)  6 Pb 3.27-3.29
Tm (0.7792, 0.4290, 0.1065)  5 Pb 3.09-3.42
Tm (0.8935, 0.2208, 0.5710)  5 Pb 3.09-3.42
Pb (0.0689, 0.4131, 0.7264)  7 Tm 3.09-3.42, 1 Ce 3.40
Pb (0.2736, 0.9311, 0.5869)  7 Tm 3.09-3.42, 1 Ce 3.40
Pb (0.4131, 0.7264, 0.0689)  7 Tm 3.09-3.42, 1 Ce 3.40
Pb (0.5869, 0.2736, 0.9311)  7 Tm 3.09-3.42, 1 Ce 3.40
Pb (0.7264, 0.0689, 0.4131)  7 Tm 3.09-3.42, 1 Ce 3.40
Pb (0.9311, 0.5869, 0.2736)  7 Tm 3.09-3.42, 1 Ce 3.40

Output
The density is 9.73 g cm⁻³. Its symmetry is R-3, No. 148.

Below is CeTm5Pb6 after structural relaxation, with properties calculated at the PBE level.

a = 9.0678 Å, b = 9.0678 Å, c = 5.0831 Å
α = 106.19°, β = 106.19°, γ = 57.93°
Closest atoms and distances in Å follow each position.
Atoms (fractional coordinates):
Ce (0.0000, 0.0000, 0.0000)  8 Pb 3.37-3.39, 4 Tm 3.59-3.60
Tm (0.1690, 0.1690, 0.6685)  8 Pb 3.27-3.39, 2 Tm 3.53-3.54, 2 Ce 3.59-3.60
Tm (0.3323, 0.3323, 0.3318)  8 Pb 3.31-3.35, 4 Tm 3.53-3.59
Tm (0.5000, 0.5000, 0.0000)  8 Pb 3.33-3.34, 4 Tm 3.58-3.59
Tm (0.6677, 0.6677, 0.6682)  8 Pb 3.31-3.35, 4 Tm 3.53-3.59
Tm (0.8310, 0.8310, 0.3315)  8 Pb 3.27-3.39, 2 Tm 3.53-3.54, 2 Ce 3.59-3.60
Pb (0.0837, 0.5793, 0.8316)  7 Tm 3.27-3.37, 1 Ce 3.37, 4 Pb 3.53-3.59
Pb (0.2547, 0.7453, 0.5000)  6 Tm 3.32-3.39, 2 Ce 3.39, 4 Pb 3.59
Pb (0.4207, 0.9163, 0.1684)  7 Tm 3.27-3.37, 1 Ce 3.37, 4 Pb 3.53-3.59
Pb (0.5793, 0.0837, 0.8316)  7 Tm 3.27-3.37, 1 Ce 3.37, 4 Pb 3.53-3.59
Pb (0.7453, 0.2547, 0.5000)  6 Tm 3.32-3.39, 2 Ce 3.39, 4 Pb 3.59
Pb (0.9163, 0.4207, 0.1684)  7 Tm 3.27-3.37, 1 Ce 3.37, 4 Pb 3.53-3.59

Output
The density is 11.02 g cm⁻³. Its symmetry is C2/m, No. 12.

Below is Ce3Tm2Pb3 after structural relaxation, with properties calculated at the PBE level.

a = 11.2325 Å, b = 11.2325 Å, c = 11.2325 Å
α = 157.13°, β = 154.62°, γ = 34.42°
Closest atoms and distances in Å follow each position.
Atoms (fractional coordinates):
Ce (0.0000, 0.0000, 0.0000)  8 Pb 3.32-3.71, 4 Ce 3.53
Ce (0.3824, 0.8824, 0.5000)  6 Pb 3.35-3.36, 2 Ce 3.53, 4 Tm 3.64-3.73
Ce (0.6176, 0.1176, 0.5000)  6 Pb 3.35-3.36, 2 Ce 3.53, 4 Tm 3.64-3.73
Tm (0.2481, 0.2481, 0.0000)  4 Pb 3.24-3.46, 4 Tm 3.32
Tm (0.7519, 0.7519, 0.0000)  4 Pb 3.24-3.46, 4 Tm 3.32
Pb (0.1385, 0.6385, 0.5000)  4 Tm 3.24-3.46, 4 Ce 3.35
Pb (0.5000, 0.5000, 0.0000)  8 Ce 3.32-3.36
Pb (0.8615, 0.3615, 0.5000)  4 Tm 3.24-3.46, 4 Ce 3.35

Output
The density is 9.72 g cm⁻³. The calculation puts the distance to the lowest polymorph of the same formula at 0.060 eV per atom. Its symmetry is Immm, No. 71.

| no. | formation energy (meV/atom) |
| --- | --- |
| 1 | -284 |
| 2 | 2 |
| 3 | -285 |
| 4 | -258 |
| 5 | -301 |
| 6 | -365 |
| 7 | -386 |
| 8 | -276 |
| 9 | -370 |
| 10 | -305 |